# 1
# InOsW2 | the Alexandria database | PBE | relaxed
# formation enthalpy at 0 K	0.5438	eV/atom
# N(E_F)	3.68	states/eV/cell
# size of the total moment	0.00	μB/f.u.
# total DFT energy (no corrections)	-9.42	eV per atom
data_InOsW2
_symmetry_space_group_name_H-M 'P 1'
_symmetry_Int_Tables_number 1
_symmetry_space_group_name_Hall 'P 1'
_cell_length_a 6.241
_cell_length_b 5.043
_cell_length_c 2.853
_cell_angle_alpha 90.63
_cell_angle_beta 61.64
_cell_angle_gamma 118.97
loop_
_atom_site_label
_atom_site_fract_x
_atom_site_fract_y
_atom_site_fract_z
_atom_site_occupancy
In1 0.000 0.500 0.500 1
Os1 0.500 0.500 0.000 1
W1 0.000 0.000 0.000 1
W2 0.500 0.000 0.500 1

# 2
# InOs2W | the Alexandria database | PBE | relaxed
# formation enthalpy at 0 K	0.4570	eV/atom
# N(E_F)	3.55	states/eV/cell
# size of the total moment	0.00	μB/f.u.
# total DFT energy (no corrections)	-9.08	eV per atom
data_InOs2W
_symmetry_space_group_name_H-M 'P 1'
_symmetry_Int_Tables_number 1
_symmetry_space_group_name_Hall 'P 1'
_cell_length_a 2.868
_cell_length_b 4.092
_cell_length_c 5.530
_cell_angle_alpha 90.00
_cell_angle_beta 90.00
_cell_angle_gamma 90.00
loop_
_atom_site_label
_atom_site_fract_x
_atom_site_fract_y
_atom_site_fract_z
_atom_site_occupancy
In1 0.500 0.500 0.763 1
Os1 0.000 0.000 0.003 1
Os2 0.500 0.500 0.265 1
W1 0.000 0.000 0.470 1

# 3
# InOs2W | the Alexandria database | PBE | relaxed
# formation enthalpy at 0 K	0.5120	eV/atom
# N(E_F)	3.98	states/eV/cell
# size of the total moment	0.00	μB/f.u.
# total DFT energy (no corrections)	-9.03	eV per atom
data_InOs2W
_symmetry_space_group_name_H-M 'P 1'
_symmetry_Int_Tables_number 1
_symmetry_space_group_name_Hall 'P 1'
_cell_length_a 5.082
_cell_length_b 5.082
_cell_length_c 5.082
_cell_angle_alpha 135.18
_cell_angle_beta 135.18
_cell_angle_gamma 65.25
loop_
_atom_site_label
_atom_site_fract_x
_atom_site_fract_y
_atom_site_fract_z
_atom_site_occupancy
In1 0.750 0.250 0.500 1
Os1 0.000 0.000 0.000 1
Os2 0.250 0.750 0.500 1
W1 0.500 0.500 0.000 1

# 4
# InOs2W | the Alexandria database | PBE | relaxed
# formation enthalpy at 0 K	0.4018	eV/atom
# N(E_F)	2.80	states/eV/cell
# size of the total moment	0.00	μB/f.u.
# total DFT energy (no corrections)	-9.14	eV per atom
data_InOs2W
_symmetry_space_group_name_H-M 'P 1'
_symmetry_Int_Tables_number 1
_symmetry_space_group_name_Hall 'P 1'
_cell_length_a 4.696
_cell_length_b 4.696
_cell_length_c 4.696
_cell_angle_alpha 126.73
_cell_angle_beta 126.73
_cell_angle_gamma 78.69
loop_
_atom_site_label
_atom_site_fract_x
_atom_site_fract_y
_atom_site_fract_z
_atom_site_occupancy
In1 0.750 0.250 0.500 1
Os1 0.000 0.000 0.000 1
Os2 0.500 0.500 0.000 1
W1 0.250 0.750 0.500 1

# 5
# InOs2W | the Alexandria database | PBE | relaxed
# formation enthalpy at 0 K	0.2409	eV/atom
# N(E_F)	3.68	states/eV/cell
# size of the total moment	0.00	μB/f.u.
# total DFT energy (no corrections)	-9.30	eV per atom
data_InOs2W
_symmetry_space_group_name_H-M 'P 1'
_symmetry_Int_Tables_number 1
_symmetry_space_group_name_Hall 'P 1'
_cell_length_a 2.948
_cell_length_b 2.948
_cell_length_c 7.494
_cell_angle_alpha 90.00
_cell_angle_beta 90.00
_cell_angle_gamma 90.00
loop_
_atom_site_label
_atom_site_fract_x
_atom_site_fract_y
_atom_site_fract_z
_atom_site_occupancy
In1 0.500 0.500 0.750 1
Os1 0.000 0.000 0.020 1
Os2 0.000 0.000 0.480 1
W1 0.500 0.500 0.250 1

# 6
# InOsW2 | the Alexandria database | PBE | relaxed
# formation enthalpy at 0 K	0.3904	eV/atom
# N(E_F)	2.45	states/eV/cell
# size of the total moment	0.00	μB/f.u.
# total DFT energy (no corrections)	-9.58	eV per atom
data_InOsW2
_symmetry_space_group_name_H-M 'P 1'
_symmetry_Int_Tables_number 1
_symmetry_space_group_name_Hall 'P 1'
_cell_length_a 4.143
_cell_length_b 2.854
_cell_length_c 6.308
_cell_angle_alpha 63.05
_cell_angle_beta 90.00
_cell_angle_gamma 90.00
loop_
_atom_site_label
_atom_site_fract_x
_atom_site_fract_y
_atom_site_fract_z
_atom_site_occupancy
In1 0.500 0.250 0.250 1
Os1 0.500 0.750 0.750 1
W1 0.000 0.022 0.979 1
W2 0.000 0.478 0.521 1

# 7
# InOs2W | the Alexandria database | PBE | relaxed
# formation enthalpy at 0 K	0.3241	eV/atom
# N(E_F)	2.98	states/eV/cell
# size of the total moment	0.00	μB/f.u.
# total DFT energy (no corrections)	-9.21	eV per atom
data_InOs2W
_symmetry_space_group_name_H-M 'P 1'
_symmetry_Int_Tables_number 1
_symmetry_space_group_name_Hall 'P 1'
_cell_length_a 9.245
_cell_length_b 9.245
_cell_length_c 9.245
_cell_angle_alpha 17.87
_cell_angle_beta 17.87
_cell_angle_gamma 17.87
loop_
_atom_site_label
_atom_site_fract_x
_atom_site_fract_y
_atom_site_fract_z
_atom_site_occupancy
In1 0.750 0.750 0.750 1
Os1 0.995 0.995 0.995 1
Os2 0.505 0.505 0.505 1
W1 0.250 0.250 0.250 1

# 8
# InOs2W | the Alexandria database | PBE | relaxed
# formation enthalpy at 0 K	0.6819	eV/atom
# N(E_F)	4.13	states/eV/cell
# size of the total moment	0.00	μB/f.u.
# total DFT energy (no corrections)	-8.86	eV per atom
data_InOs2W
_symmetry_space_group_name_H-M 'P 1'
_symmetry_Int_Tables_number 1
_symmetry_space_group_name_Hall 'P 1'
_cell_length_a 2.812
_cell_length_b 2.812
_cell_length_c 9.373
_cell_angle_alpha 90.00
_cell_angle_beta 90.00
_cell_angle_gamma 117.29
loop_
_atom_site_label
_atom_site_fract_x
_atom_site_fract_y
_atom_site_fract_z
_atom_site_occupancy
In1 0.500 0.500 0.755 1
Os1 0.000 0.000 0.010 1
Os2 0.500 0.500 0.249 1
W1 0.000 0.000 0.485 1

# 9
# InOsW2 | the Alexandria database | PBE | relaxed
# formation enthalpy at 0 K	0.7517	eV/atom
# N(E_F)	3.42	states/eV/cell
# size of the total moment	0.00	μB/f.u.
# total DFT energy (no corrections)	-9.22	eV per atom
data_InOsW2
_symmetry_space_group_name_H-M 'P 1'
_symmetry_Int_Tables_number 1
_symmetry_space_group_name_Hall 'P 1'
_cell_length_a 4.772
_cell_length_b 4.772
_cell_length_c 2.932
_cell_angle_alpha 90.00
_cell_angle_beta 90.00
_cell_angle_gamma 90.00
loop_
_atom_site_label
_atom_site_fract_x
_atom_site_fract_y
_atom_site_fract_z
_atom_site_occupancy
In1 0.500 0.000 0.500 1
Os1 0.000 0.500 0.500 1
W1 0.000 0.000 0.000 1
W2 0.500 0.500 0.000 1

# 10
# InOsW2 | the Alexandria database | PBE | relaxed
# formation enthalpy at 0 K	0.4560	eV/atom
# N(E_F)	2.55	states/eV/cell
# size of the total moment	0.00	μB/f.u.
# total DFT energy (no corrections)	-9.51	eV per atom
data_InOsW2
_symmetry_space_group_name_H-M 'P 1'
_symmetry_Int_Tables_number 1
_symmetry_space_group_name_Hall 'P 1'
_cell_length_a 5.033
_cell_length_b 5.033
_cell_length_c 4.949
_cell_angle_alpha 77.94
_cell_angle_beta 77.94
_cell_angle_gamma 33.48
loop_
_atom_site_label
_atom_site_fract_x
_atom_site_fract_y
_atom_site_fract_z
_atom_site_occupancy
In1 0.505 0.505 0.497 1
Os1 0.266 0.266 0.222 1
W1 0.992 0.992 0.005 1
W2 0.737 0.737 0.776 1

# 11
# InOsW2 | the Alexandria database | PBE | relaxed
# formation enthalpy at 0 K	0.4191	eV/atom
# N(E_F)	4.22	states/eV/cell
# size of the total moment	0.00	μB/f.u.
# total DFT energy (no corrections)	-9.55	eV per atom
data_InOsW2
_symmetry_space_group_name_H-M 'P 1'
_symmetry_Int_Tables_number 1
_symmetry_space_group_name_Hall 'P 1'
_cell_length_a 3.169
_cell_length_b 3.169
_cell_length_c 6.736
_cell_angle_alpha 90.00
_cell_angle_beta 90.00
_cell_angle_gamma 90.00
loop_
_atom_site_label
_atom_site_fract_x
_atom_site_fract_y
_atom_site_fract_z
_atom_site_occupancy
In1 0.000 0.000 0.504 1
Os1 0.500 0.500 0.774 1
W1 0.000 0.000 0.995 1
W2 0.500 0.500 0.227 1

# 12
# InOsW2 | the Alexandria database | PBE | relaxed
# formation enthalpy at 0 K	0.5220	eV/atom
# N(E_F)	2.11	states/eV/cell
# size of the total moment	0.00	μB/f.u.
# total DFT energy (no corrections)	-9.45	eV per atom
data_InOsW2
_symmetry_space_group_name_H-M 'P 1'
_symmetry_Int_Tables_number 1
_symmetry_space_group_name_Hall 'P 1'
_cell_length_a 4.930
_cell_length_b 4.930
_cell_length_c 4.930
_cell_angle_alpha 131.23
_cell_angle_beta 131.23
_cell_angle_gamma 71.44
loop_
_atom_site_label
_atom_site_fract_x
_atom_site_fract_y
_atom_site_fract_z
_atom_site_occupancy
In1 0.500 0.500 0.000 1
Os1 0.750 0.250 0.500 1
W1 0.000 0.000 0.000 1
W2 0.250 0.750 0.500 1